Entry 1:
7
Lattice="2.447 1.413 8.723 -2.447 1.413 8.723 0.000 -2.826 8.723" Properties=species:S:1:pos:R:3 comment="Pu2TlSn2Au2, optimized geometry, DFT PBE" mass_density_kg_m3=12146 final_energy_ev_per_atom=-6.71 formation_enthalpy_0k_ev_per_atom=-0.197 pbc="T T T"
Pu 0.000 0.000 3.635
Pu 0.000 0.000 22.535
Tl 0.000 0.000 0.000
Sn 0.000 0.000 6.914
Sn 0.000 0.000 19.256
Au 0.000 0.000 11.460
Au 0.000 0.000 14.710

---

Entry 2:
5
Lattice="5.349 0.000 0.000 0.000 5.349 0.000 0.000 0.000 5.349" Properties=species:S:1:pos:R:3 comment="LaHfAu3, optimized geometry, DFT PBE" mass_density_kg_m3=9854 final_energy_ev_per_atom=-4.12 e_above_lowest_polymorph_kj_per_mol_atoms=91.8 formation_enthalpy_0k_ev_per_atom=0.824 pbc="T T T"
La 0.000 0.000 0.000
Hf 2.675 2.675 2.675
Au 0.000 0.000 2.675
Au 0.000 2.675 0.000
Au 2.675 0.000 0.000

---

Entry 3:
12
Lattice="2.999 0.000 0.000 -1.499 2.597 0.000 0.000 0.000 19.478" Properties=species:S:1:pos:R:3 comment="GeBRu2, optimized geometry, DFT PBE" mass_density_kg_m3=9380 final_energy_ev_per_atom=-7.60 e_above_lowest_polymorph_kj_per_mol_atoms=0.0 formation_enthalpy_0k_ev_per_atom=-0.136 pbc="T T T"
Ge 0.000 0.000 0.000
Ge 0.000 1.731 12.985
Ge 1.499 0.866 6.493
B 0.000 0.000 3.232
B 0.000 1.731 16.218
B 1.499 0.866 9.725
Ru 0.000 0.000 11.009
Ru 0.000 0.000 14.906
Ru 0.000 1.731 4.516
Ru 0.000 1.731 8.413
Ru 1.499 0.866 1.920
Ru 1.499 0.866 17.501